# 1
## Cu2SiC (PBE)

Data for Cu2SiC after structural relaxation.

The value obtained for the energy above the lowest structure with this stoichiometry is 80 kJ/mol of formula units. For the energy relative to the elements, uncorrected, the calculation gives 1.14 eV/atom.

The space group is Fm-3m (No. 225) and the conventional cell measures 5.657, 5.657 and 5.657 Å, with angles of 90.00, 90.00 and 90.00 degrees. The distinct sites, in fractional coordinates, are Cu at (0.250, 0.250, 0.250), Si at (0.000, 0.000, 0.000) and C at (0.000, 0.000, 0.500).


# 2
## LaCo (PBE)

Data for LaCo after structural relaxation.

As for the formation energy: 0.0 eV per formula unit.

The space group is C2/m (No. 12) and the conventional cell measures 11.279, 3.999 and 6.000 Å, with angles of 90.00, 95.50 and 90.00 degrees. The distinct sites, in fractional coordinates, are La at (0.000, 0.000, 0.000), La at (0.214, 0.500, 0.725), Co at (0.000, 0.000, 0.500) and Co at (0.076, 0.500, 0.351).


# 3
## BaLi2SnH (PBE)

Data for BaLi2SnH after structural relaxation.

The value obtained for the energy above the lowest structure with this stoichiometry is 0 kJ/mol of formula units.

The space group is Cmcm (No. 63) and the conventional cell measures 4.029, 12.942 and 8.595 Å, with angles of 90.00, 90.00 and 90.00 degrees. The distinct sites, in fractional coordinates, are Ba at (0.000, 0.044, 0.250), Li at (0.000, 0.341, 0.045), Sn at (0.000, 0.230, 0.750) and H at (0.000, 0.500, 0.000).


# 4
## K2LaTe (PBE)

Data for K2LaTe after structural relaxation.

For the energy relative to the elements, uncorrected, the calculation gives -0.17 eV/atom.

The space group is I-4m2 (No. 119) and the conventional cell measures 5.236, 5.236 and 10.917 Å, with angles of 90.00, 90.00 and 90.00 degrees. The distinct sites, in fractional coordinates, are K at (0.000, 0.000, 0.000), K at (0.000, 0.500, 0.250), La at (0.000, 0.500, 0.750) and Te at (0.000, 0.000, 0.500).


# 5
## Sr2AcMnN4 (PBE)

Data for Sr2AcMnN4 after structural relaxation.

For the energy relative to the elements, uncorrected, the calculation gives -0.61 eV/atom.

The space group is Cmcm (No. 63) and the conventional cell measures 3.584, 12.095 and 12.621 Å, with angles of 90.00, 90.00 and 90.00 degrees. The distinct sites, in fractional coordinates, are Sr at (0.000, 0.133, 0.041), Ac at (0.000, 0.406, 0.250), Mn at (0.000, 0.316, 0.750), N at (0.000, 0.111, 0.250), N at (0.000, 0.222, 0.645) and N at (0.000, 0.500, 0.000).


# 6
## Sm2ZnIn8 (PBE)

Data for Sm2ZnIn8 after structural relaxation.

As for the formation energy: -3.2 eV per formula unit.

The space group is P4/mmm (No. 123) and the conventional cell measures 4.772, 4.772 and 12.325 Å, with angles of 90.00, 90.00 and 90.00 degrees. The distinct sites, in fractional coordinates, are Sm at (0.000, 0.000, 0.189), Zn at (0.000, 0.000, 0.500), In at (0.000, 0.500, 0.000), In at (0.000, 0.500, 0.373) and In at (0.500, 0.500, 0.189).


It is found that the energy values, taken in the order of the records, are -4.5665 -6.0395 -3.0534 -2.7353 -6.8496 -3.2591 eV per atom.